No. 1
{"formula": "Ce2PrBe2Pt7", "functional": "PBE", "state": "optimized geometry", "cell": [[2.941, -3.300, 0.000], [2.941, 3.300, 0.000], [-2.382, 0.000, 11.697]], "species": ["Ce", "Ce", "Pr", "Be", "Be", "Pt", "Pt", "Pt", "Pt", "Pt", "Pt", "Pt"], "fractional_positions": [[0.198, 0.198, 0.382], [0.802, 0.802, 0.618], [0.000, 0.000, 0.000], [0.303, 0.303, 0.816], [0.697, 0.697, 0.184], [0.174, 0.605, 0.196], [0.297, 0.297, 0.624], [0.395, 0.826, 0.804], [0.500, 0.500, 0.000], [0.605, 0.174, 0.196], [0.703, 0.703, 0.376], [0.826, 0.395, 0.804]]}


No. 2
{"formula": "Ce3Be4Pt4", "functional": "PBE", "state": "optimized geometry", "cell": [[-1.982, 2.023, 12.036], [1.982, -2.023, 12.036], [1.982, 2.023, -12.036]], "species": ["Ce", "Ce", "Ce", "Be", "Be", "Be", "Be", "Pt", "Pt", "Pt", "Pt"], "fractional_positions": [[0.000, 0.000, 0.000], [0.354, 0.854, 0.500], [0.646, 0.146, 0.500], [0.200, 0.700, 0.500], [0.453, 0.453, 0.000], [0.547, 0.547, 0.000], [0.800, 0.300, 0.500], [0.098, 0.598, 0.500], [0.250, 0.250, 0.000], [0.750, 0.750, 0.000], [0.902, 0.402, 0.500]]}


No. 3
{"formula": "CeBePt", "functional": "PBE", "state": "optimized geometry", "e_above_lowest_polymorph_ev_per_fu": 0.02, "cell": [[4.121, 0.000, 0.000], [-2.061, 3.569, 0.000], [0.000, 0.000, 3.881]], "species": ["Ce", "Be", "Pt"], "fractional_positions": [[0.000, 0.000, 0.000], [0.333, 0.667, 0.500], [0.667, 0.333, 0.500]]}


No. 4
{"formula": "Ce3Be6Pt20", "functional": "PBE", "state": "optimized geometry", "cell": [[0.000, 6.045, 6.045], [6.045, 0.000, 6.045], [6.045, 6.045, 0.000]], "species": ["Ce", "Ce", "Ce", "Be", "Be", "Be", "Be", "Be", "Be", "Pt", "Pt", "Pt", "Pt", "Pt", "Pt", "Pt", "Pt", "Pt", "Pt", "Pt", "Pt", "Pt", "Pt", "Pt", "Pt", "Pt", "Pt", "Pt", "Pt"], "fractional_positions": [[0.000, 0.000, 0.000], [0.250, 0.250, 0.250], [0.750, 0.750, 0.750], [0.272, 0.272, 0.728], [0.272, 0.728, 0.272], [0.272, 0.728, 0.728], [0.728, 0.272, 0.272], [0.728, 0.272, 0.728], [0.728, 0.728, 0.272], [0.000, 0.000, 0.340], [0.000, 0.000, 0.660], [0.000, 0.340, 0.000], [0.000, 0.340, 0.660], [0.000, 0.660, 0.000], [0.000, 0.660, 0.340], [0.152, 0.616, 0.616], [0.340, 0.000, 0.000], [0.340, 0.000, 0.660], [0.340, 0.660, 0.000], [0.384, 0.384, 0.384], [0.384, 0.384, 0.848], [0.384, 0.848, 0.384], [0.616, 0.152, 0.616], [0.616, 0.616, 0.152], [0.616, 0.616, 0.616], [0.660, 0.000, 0.000], [0.660, 0.000, 0.340], [0.660, 0.340, 0.000], [0.848, 0.384, 0.384]]}


N(E_F) per entry: 0.67; 1.51; 1.76; 0.34 states/eV/atom
ΔE_f per entry: -867; -743; -718; -721 meV/atom